[1]
Computed, not measured: a relaxed structure of Cs2SnAu2S4 at the PBE level of DFT.

Cell: 6.241 14.670 25.336 Å, 90.00 90.00 90.00°
Space group Fddd (No. 70, origin choice 2)
Inequivalent atoms, fractional coordinates:
Cs  0.125  0.125  0.306 (multiplicity 16)
Sn  0.125  0.125  0.125 (multiplicity 8)
Au  0.125  0.125  0.562 (multiplicity 16)
S  0.084  0.275  0.433 (multiplicity 32)

Raw total energy   -281.86 eV per cell

---

[2]
Computed, not measured: a relaxed structure of CsSnAu3S4 at the PBE level of DFT.

Cell: 6.183 7.782 11.090 Å, 90.00 99.16 90.00°
Space group P2_1/m (No. 11)
Inequivalent atoms, fractional coordinates:
Cs  0.207  0.250  0.355 (multiplicity 2)
Sn  0.093  0.250  0.784 (multiplicity 2)
Au  0.366  0.563  0.088 (multiplicity 4)
Au  0.468  0.750  0.328 (multiplicity 2)
S  0.060  0.750  0.019 (multiplicity 2)
S  0.144  0.750  0.412 (multiplicity 2)
S  0.319  0.510  0.771 (multiplicity 4)

Raw total energy   -67.98 eV per cell
Distance to the lowest polymorph of the same formula   0.000 eV/atom

---

[3]
Computed, not measured: a relaxed structure of CsSnAu3S4 at the PBE level of DFT.

Cell: 6.511 6.511 6.511 Å, 90.00 90.00 90.00°
Space group P-43m (No. 215)
Inequivalent atoms, fractional coordinates:
Cs  0.000  0.000  0.000 (multiplicity 1)
Sn  0.500  0.500  0.500 (multiplicity 1)
Au  0.000  0.500  0.500 (multiplicity 3)
S  0.287  0.287  0.287 (multiplicity 4)

Raw total energy   -32.32 eV per cell
Distance to the lowest polymorph of the same formula   0.186 eV/atom

---

[4]
Computed, not measured: a relaxed structure of CsSnAuS3 at the PBE level of DFT.

Cell: 3.957 17.446 10.084 Å, 90.00 90.00 90.00°
Space group Cmcm (No. 63)
Inequivalent atoms, fractional coordinates:
Cs  0.000  0.216  0.250 (multiplicity 4)
Sn  0.000  0.500  0.000 (multiplicity 4)
Au  0.000  0.110  0.750 (multiplicity 4)
S  0.000  0.103  0.522 (multiplicity 8)
S  0.000  0.453  0.750 (multiplicity 4)

Raw total energy   -93.33 eV per cell

---

[5]
Computed, not measured: a relaxed structure of CsSnTeAuS2 at the PBE level of DFT.

Cell: 3.900 18.031 11.138 Å, 90.00 90.00 90.00°
Space group Cmcm (No. 63)
Inequivalent atoms, fractional coordinates:
Cs  0.000  0.241  0.250 (multiplicity 4)
Sn  0.000  0.500  0.000 (multiplicity 4)
Te  0.000  0.440  0.750 (multiplicity 4)
Au  0.000  0.096  0.750 (multiplicity 4)
S  0.000  0.102  0.541 (multiplicity 8)

Raw total energy   -88.56 eV per cell

---

[6]
Computed, not measured: a relaxed structure of CsTaAuS3 at the PBE level of DFT.

Cell: 3.647 16.248 9.817 Å, 90.00 90.00 90.00°
Space group Cmcm (No. 63)
Inequivalent atoms, fractional coordinates:
Cs  0.000  0.249  0.250 (multiplicity 4)
Ta  0.000  0.500  0.000 (multiplicity 4)
Au  0.000  0.052  0.750 (multiplicity 4)
S  0.000  0.108  0.526 (multiplicity 8)
S  0.000  0.438  0.750 (multiplicity 4)

Raw total energy   -129.31 eV per cell

---

[7]
Computed, not measured: a relaxed structure of CsTaTe2AuS at the PBE level of DFT.

Cell: 4.126 19.322 9.736 Å, 90.00 90.00 90.00°
Space group Cmcm (No. 63)
Inequivalent atoms, fractional coordinates:
Cs  0.000  0.228  0.250 (multiplicity 4)
Ta  0.000  0.000  0.000 (multiplicity 4)
Te  0.000  0.393  0.016 (multiplicity 8)
Au  0.000  0.424  0.750 (multiplicity 4)
S  0.000  0.011  0.750 (multiplicity 4)

Raw total energy   -115.44 eV per cell

---

[8]
Computed, not measured: a relaxed structure of CsTbAu3S4 at the PBE level of DFT.

Cell: 6.504 6.504 6.504 Å, 90.00 90.00 90.00°
Space group P-43m (No. 215)
Inequivalent atoms, fractional coordinates:
Cs  0.000  0.000  0.000 (multiplicity 1)
Tb  0.500  0.500  0.500 (multiplicity 1)
Au  0.000  0.500  0.500 (multiplicity 3)
S  0.276  0.276  0.276 (multiplicity 4)

Raw total energy   -36.25 eV per cell
Distance to the lowest polymorph of the same formula   0.191 eV/atom